## SrGa8Pd4 (GGA-PBE)

Data for an optimized crystal structure of SrGa8Pd4.

The structure in extended XYZ format:
```
13
Lattice="-5.465 0.963 0.449 -3.903 -5.701 -0.754 -2.403 -0.573 6.496" Properties=species:S:1:pos:R:3 pbc="T T T"
Pd -4.684 -2.369 -0.152
Pd -1.951 -2.850 -0.377
Pd -3.934 0.195 3.472
Pd -1.202 -0.287 3.248
Ga -2.931 -2.377 3.945
Ga -3.375 -3.896 1.797
Ga -6.010 -3.727 3.879
Ga -6.300 -4.074 1.090
Ga -5.761 -1.583 2.311
Ga -8.851 -4.176 4.784
Ga -2.920 -1.135 1.407
Ga -5.471 -1.237 5.101
Sr 0.000 0.000 0.000
```

Output
* formation energy from the elements: -0.511 eV/atom
* total moment: 0.0 μB/cell